DFT (PBE) results for an optimized crystal structure of ZnCr2S5.

Calculated values
space-group type = Pmmn (59)
energy relative to the elements, uncorrected = -39.2 kJ per mole of atoms
energy = -5.551 eV/atom

Cell: 3.643 13.931 6.485 Å, 90.00 90.00 90.00°
Atoms (fractional coordinates):
Zn: 0.250 0.250 0.075
Zn: 0.750 0.750 0.925
Cr: 0.250 0.601 0.503
Cr: 0.250 0.899 0.503
Cr: 0.750 0.101 0.497
Cr: 0.750 0.399 0.497
S: 0.250 0.043 0.311
S: 0.250 0.457 0.311
S: 0.250 0.673 0.182
S: 0.250 0.750 0.688
S: 0.250 0.827 0.182
S: 0.750 0.173 0.818
S: 0.750 0.250 0.312
S: 0.750 0.327 0.818
S: 0.750 0.543 0.689
S: 0.750 0.957 0.689